An optimized crystal structure of Cs2Ce2RhS6. Source: Alexandria via LeMat-Bulk, functional PBE.

- raw formation energy (meV/atom) = -1357
- DFT total energy (eV/atom) = -5.511
- volume (Å³/f.u.) = 331.0
- total magnetic moment (μB per atom) = 0.100
- D(E_F) (states/eV per cell) = 7.1

```
Cs2Ce2RhS6
1.0
-5.413 0.252 -4.032
5.547 -3.125 -2.254
-2.755 -6.116 5.366
S Rh Ce Cs
6 1 2 2
Cartesian
-2.420 -3.745 -3.463 S
-1.746 -6.300 -1.203 S
-0.201 -5.244 2.543 S
-0.875 -2.690 0.283 S
0.840 -4.750 -2.934 S
-3.461 -4.240 2.014 S
-1.378 -3.058 2.683 Rh
0.538 -5.065 -0.160 Ce
-3.159 -3.925 -0.760 Ce
-3.520 -0.332 -3.725 Cs
3.654 -2.542 -2.561 Cs
```


An optimized crystal structure of Cs4Ce3RhS8. Source: Alexandria via LeMat-Bulk, functional PBE.

- raw formation energy (meV/atom) = -1412
- DFT total energy (eV/atom) = -5.262
- volume (Å³/f.u.) = 478.5
- total magnetic moment (μB per atom) = 0.007
- D(E_F) (states/eV per cell) = 13.9

```
Cs4Ce3RhS8
1.0
8.100 0.000 0.000
0.000 9.279 0.685
-4.050 -4.122 6.063
S Ce Cs Rh
8 3 4 1
Cartesian
6.287 2.925 0.525 S
2.237 2.231 6.223 S
0.000 0.634 3.553 S
-2.237 2.231 6.223 S
4.050 0.732 3.191 S
0.000 4.425 3.556 S
4.050 4.523 3.195 S
1.813 2.925 0.525 S
4.050 4.639 0.342 Ce
-2.025 2.578 3.374 Ce
2.025 2.578 3.374 Ce
2.025 -2.061 3.031 Cs
4.050 0.000 0.000 Cs
-2.025 -2.061 3.031 Cs
0.000 0.000 0.000 Cs
0.000 4.639 0.342 Rh
```


An optimized crystal structure of Cs4Ce3RhSe8. Source: Alexandria via LeMat-Bulk, functional PBE.

- raw formation energy (meV/atom) = -1341
- DFT total energy (eV/atom) = -4.869
- volume (Å³/f.u.) = 532.8
- total magnetic moment (μB per atom) = 0.185
- D(E_F) (states/eV per cell) = 14.5

```
Cs4Ce3RhSe8
1.0
-3.494 5.371 -5.561
-7.827 -5.710 -0.597
2.101 2.833 7.888
Se Ce Cs Rh
8 3 4 1
Cartesian
-7.001 1.262 -0.854 Se
-5.258 2.495 -4.301 Se
-3.346 -0.445 -1.257 Se
-3.961 0.000 6.030 Se
-5.259 -1.357 1.993 Se
-5.873 2.939 2.986 Se
-3.961 3.851 -0.264 Se
-2.218 1.232 2.583 Se
-4.610 1.247 0.865 Ce
-5.660 -0.170 -3.079 Ce
-2.863 -1.438 3.645 Ce
-1.747 2.685 -2.781 Cs
1.050 1.417 3.944 Cs
0.000 0.000 0.000 Cs
-0.696 4.102 1.163 Cs
-3.913 -2.855 -0.299 Rh
```


An optimized crystal structure of Cs2Ce2RhSe6. Source: Alexandria via LeMat-Bulk, functional PBE.

- raw formation energy (meV/atom) = -1277
- DFT total energy (eV/atom) = -5.080
- volume (Å³/f.u.) = 372.0
- total magnetic moment (μB per atom) = 0.099
- D(E_F) (states/eV per cell) = 6.6

```
Cs2Ce2RhSe6
1.0
7.018 0.071 0.036
-3.407 6.136 0.036
-1.318 -2.266 8.564
Rh Cs Se Ce
1 2 6 2
Cartesian
-0.659 -1.133 4.282 Rh
5.196 1.131 0.036 Cs
-1.585 5.076 0.036 Cs
1.432 -1.090 5.838 Se
3.948 3.234 2.799 Se
-1.656 0.706 5.838 Se
0.860 5.031 2.799 Se
1.876 3.224 5.837 Se
0.417 0.717 2.800 Se
2.909 0.945 4.318 Ce
-0.617 2.996 4.318 Ce
```


An optimized crystal structure of Cs2CeS10. Source: Alexandria via LeMat-Bulk, functional PBE.

- raw formation energy (meV/atom) = -558
- DFT total energy (eV/atom) = -4.321
- volume (Å³/f.u.) = 460.9
- total magnetic moment (μB per atom) = 0.000
- D(E_F) (states/eV per cell) = 10.2

```
Cs2CeS10
1.0
-3.136 2.449 4.753
-4.461 -10.724 2.582
9.709 -2.221 7.550
Cs S Ce
4 20 2
Cartesian
-2.887 -6.521 5.497 Cs
4.998 -3.975 9.388 Cs
1.389 -9.022 9.607 Cs
0.722 -1.474 5.278 Cs
1.197 -11.367 6.647 S
2.654 -4.215 6.656 S
-2.027 -9.655 3.637 S
-0.543 -6.281 8.229 S
1.876 -4.310 11.542 S
-2.261 -0.016 3.867 S
3.357 -9.687 12.557 S
0.473 -7.074 6.690 S
4.139 -0.841 11.248 S
3.823 -8.373 6.836 S
4.372 -10.481 11.018 S
1.638 -3.422 8.195 S
0.236 -6.186 3.343 S
0.914 0.871 8.238 S
3.057 -12.184 8.295 S
4.033 -4.412 13.018 S
-1.922 -6.084 1.867 S
-0.946 1.687 6.590 S
-1.712 -2.123 8.049 S
-1.245 -0.809 2.328 S
0.000 0.000 0.000 Ce
2.624 -6.473 5.066 Ce
```


An optimized crystal structure of CsCe4S6. Source: Alexandria via LeMat-Bulk, functional PBE.

- raw formation energy (meV/atom) = -1577
- DFT total energy (eV/atom) = -6.064
- volume (Å³/f.u.) = 308.4
- total magnetic moment (μB per atom) = 0.450
- D(E_F) (states/eV per cell) = 20.6

```
CsCe4S6
1.0
7.484 0.034 0.049
-3.431 6.652 -0.049
-3.431 -2.491 6.168
S Ce Cs
6 4 1
Cartesian
2.027 3.343 0.000 S
-0.922 1.959 2.881 S
-4.697 4.248 3.237 S
4.079 0.698 1.027 S
-4.697 1.448 5.141 S
2.027 -1.229 3.109 S
-2.604 3.307 4.864 Ce
1.815 1.743 2.563 Ce
-2.724 -0.076 3.605 Ce
-2.724 3.380 1.254 Ce
0.000 0.000 0.000 Cs
```


An optimized crystal structure of CsCeS14. Source: Alexandria via LeMat-Bulk, functional PBE.

- raw formation energy (meV/atom) = -208
- DFT total energy (eV/atom) = -4.244
- volume (Å³/f.u.) = 505.1
- total magnetic moment (μB per atom) = 0.041
- D(E_F) (states/eV per cell) = 23.2

```
CsCeS14
1.0
-5.198 6.708 7.243
5.198 -6.708 7.243
5.198 6.708 -7.243
Ce S Cs
2 28 2
Cartesian
2.599 3.354 3.622 Ce
-2.599 3.354 3.622 Ce
2.406 5.358 5.817 S
2.792 1.350 1.426 S
0.000 1.579 9.884 S
3.013 4.294 7.498 S
8.211 2.414 -0.255 S
2.185 -2.414 6.988 S
2.792 -1.350 8.670 S
-3.013 4.294 7.498 S
3.013 9.122 0.255 S
0.000 3.356 2.098 S
2.406 5.358 1.426 S
-2.406 5.358 5.817 S
2.185 2.414 7.498 S
5.198 5.129 -4.603 S
0.000 1.579 11.846 S
3.013 4.294 -0.255 S
5.198 1.388 1.401 S
5.198 3.352 5.145 S
5.198 5.129 -2.640 S
2.406 8.057 -1.426 S
5.198 3.352 2.098 S
0.000 5.320 1.401 S
0.000 5.320 5.843 S
2.185 2.414 -0.255 S
0.000 3.356 5.145 S
7.604 1.350 1.426 S
5.198 1.388 5.843 S
2.792 1.350 5.817 S
5.198 -1.767 3.622 Cs
0.000 8.475 3.622 Cs
```


An optimized crystal structure of Cs5Ce2S6. Source: Alexandria via LeMat-Bulk, functional PBE.

- raw formation energy (meV/atom) = -1416
- DFT total energy (eV/atom) = -4.562
- volume (Å³/f.u.) = 605.7
- total magnetic moment (μB per atom) = 0.080
- D(E_F) (states/eV per cell) = 21.1

```
Cs5Ce2S6
1.0
-2.229 -4.942 6.776
0.063 -8.558 -1.432
16.465 -4.505 6.583
S Ce Cs
12 4 10
Cartesian
8.309 -12.650 6.618 S
1.522 -5.413 2.757 S
12.400 -16.677 10.802 S
12.777 -12.592 9.170 S
5.990 -5.355 5.309 S
-0.484 -9.513 5.334 S
4.163 -14.417 7.525 S
1.899 -1.328 1.125 S
14.783 -8.492 6.593 S
9.731 -7.628 6.132 S
4.568 -10.377 5.795 S
10.136 -3.588 4.402 S
13.451 -14.321 10.992 Ce
8.674 -5.295 5.681 Ce
5.625 -12.710 6.246 Ce
0.848 -3.684 0.935 Ce
7.787 -9.643 3.959 Cs
2.649 -7.270 5.693 Cs
10.442 -15.218 8.108 Cs
3.857 -2.787 3.819 Cs
1.545 -11.917 7.196 Cs
15.827 -12.323 7.385 Cs
6.512 -8.363 7.968 Cs
12.754 -6.088 4.731 Cs
-1.528 -5.682 4.542 Cs
11.650 -10.735 6.234 Cs
```


An optimized crystal structure of CsCeS4. Source: Alexandria via LeMat-Bulk, functional PBE.

- raw formation energy (meV/atom) = -1175
- DFT total energy (eV/atom) = -5.058
- volume (Å³/f.u.) = 163.5
- total magnetic moment (μB per atom) = 0.171
- D(E_F) (states/eV per cell) = 13.6

```
CsCeS4
1.0
6.121 0.000 0.000
0.000 6.121 0.000
0.000 0.000 8.729
S Ce Cs
8 2 2
Cartesian
3.813 0.752 7.072 S
0.752 3.813 1.656 S
2.308 0.752 1.656 S
3.813 5.369 1.656 S
5.369 2.308 1.656 S
5.369 3.813 7.072 S
0.752 2.308 7.072 S
2.308 5.369 7.072 S
0.000 0.000 0.000 Ce
3.061 3.061 0.000 Ce
3.061 3.061 4.364 Cs
0.000 0.000 4.364 Cs
```